[1]
9
Lattice="8.4300 0.0000 0.0000 -4.2150 7.3006 0.0000 0.0000 0.0000 4.4154" Properties=species:S:1:pos:R:3 comment="Sm6GaSn2 | Alexandria | PBE | optimized geometry" formation_energy_ev_per_atom=-0.53 energy_ev_per_fu=-44.1 sg="P-62m (189)" magmom_total_mub_per_cell=5.0 pbc="T T T"
Sm -1.7184 2.9763 0.0000
Sm -3.1674 5.4860 2.2077
Sm 1.0476 1.8145 2.2077
Sm 3.4367 0.0000 0.0000
Sm 2.4966 4.3243 0.0000
Sm 6.3347 0.0000 2.2077
Ga 0.0000 0.0000 0.0000
Sn 0.0000 4.8670 2.2077
Sn 4.2150 2.4335 2.2077

[2]
6
Lattice="0.0000 4.3354 4.3354 4.3354 0.0000 4.3354 4.3354 4.3354 0.0000" Properties=species:S:1:pos:R:3 comment="SrErIn4 | Alexandria | PBE | optimized geometry" formation_energy_ev_per_atom=-0.29 energy_ev_per_fu=-18.9 sg="F-43m (216)" magmom_total_mub_per_cell=0.0 pbc="T T T"
Sr 0.0000 0.0000 0.0000
Er 6.5030 6.5030 6.5030
In 3.2545 3.2545 3.2545
In 5.4162 5.4162 3.2545
In 5.4162 3.2545 5.4162
In 3.2545 5.4162 5.4162